No. 1
A geometry-optimized Dy3Cu4Si2Ge2 structure. Source: OQMD, functional PBE.

crystal system = orthorhombic
energy relative to the lowest polymorph listed for this composition = 0.00 eV/f.u.
space-group type = Immm

Cell and atoms, written as POSCAR:
```
Dy3Cu4Si2Ge2
1.0
0.419 -7.812 1.435
-6.192 -3.977 3.018
3.165 4.401 -5.821
Cu Dy Ge Si
4 3 2 2
Direct
0.484 0.174 0.310
0.136 0.826 0.310
0.864 0.174 0.690
0.516 0.826 0.690
0.500 0.500 0.000
0.870 0.370 0.500
0.130 0.630 0.500
0.193 0.000 0.193
0.807 0.000 0.807
0.284 0.284 0.000
0.716 0.716 0.000
```



No. 2
A geometry-optimized DyY2Cu4Si2Ge2 structure. Source: OQMD, functional PBE.

crystal system = orthorhombic
energy relative to the lowest polymorph listed for this composition = 0.07 eV/f.u.
space-group type = Immm

Cell and atoms, written as POSCAR:
```
DyY2Cu4Si2Ge2
1.0
5.373 -3.018 -5.025
7.086 -2.503 2.599
-7.929 -0.590 0.109
Cu Dy Ge Si Y
4 1 2 2 2
Direct
0.648 0.337 0.311
0.974 0.663 0.311
0.026 0.337 0.689
0.352 0.663 0.689
0.000 0.000 0.000
0.217 0.217 0.000
0.783 0.783 0.000
0.684 0.500 0.184
0.316 0.500 0.816
0.630 0.130 0.500
0.370 0.870 0.500
```



No. 3
A geometry-optimized DyY2Cu4Si2Ge2 structure. Source: OQMD, functional PBE.

crystal system = orthorhombic
energy relative to the lowest polymorph listed for this composition = 0.00 eV/f.u.
space-group type = Immm

Cell and atoms, written as POSCAR:
```
DyY2Cu4Si2Ge2
1.0
-3.157 6.084 4.053
-7.125 2.988 -1.925
4.462 -6.127 2.439
Cu Dy Ge Si Y
4 1 2 2 2
Direct
0.637 0.327 0.310
0.984 0.673 0.310
0.016 0.327 0.690
0.363 0.673 0.690
0.000 0.000 0.000
0.693 0.500 0.193
0.307 0.500 0.807
0.216 0.216 0.000
0.784 0.784 0.000
0.630 0.130 0.500
0.370 0.870 0.500
```



No. 4
A geometry-optimized Sm2DyCu4Sn2Ge2 structure. Source: OQMD, functional PBE.

crystal system = orthorhombic
energy relative to the lowest polymorph listed for this composition = 0.00 eV/f.u.
space-group type = Immm

Cell and atoms, written as POSCAR:
```
Sm2DyCu4Sn2Ge2
1.0
-5.609 -5.549 -2.708
-8.084 1.876 -0.848
7.951 1.444 -2.070
Cu Dy Ge Sm Sn
4 1 2 2 2
Direct
0.528 0.341 0.187
0.846 0.659 0.187
0.154 0.341 0.813
0.472 0.659 0.813
0.500 0.000 0.500
0.808 0.500 0.308
0.192 0.500 0.692
0.127 0.127 0.000
0.873 0.873 0.000
0.717 0.217 0.500
0.283 0.783 0.500
```



No. 5
A geometry-optimized Sm2DyCu4Sn2Ge2 structure. Source: OQMD, functional PBE.

crystal system = orthorhombic
energy relative to the lowest polymorph listed for this composition = 0.78 eV/f.u.
space-group type = Immm

Cell and atoms, written as POSCAR:
```
Sm2DyCu4Sn2Ge2
1.0
-2.176 3.454 7.254
2.176 -3.454 7.254
2.176 3.454 -7.254
Cu Dy Ge Sm Sn
4 1 2 2 2
Direct
0.510 0.326 0.184
0.859 0.674 0.184
0.141 0.326 0.816
0.490 0.674 0.816
0.500 0.000 0.500
0.715 0.215 0.500
0.285 0.785 0.500
0.137 0.137 0.000
0.863 0.863 0.000
0.797 0.500 0.297
0.203 0.500 0.703
```



No. 6
A geometry-optimized TbDy2Cu4Sn2Ge2 structure. Source: OQMD, functional PBE.

crystal system = orthorhombic
energy relative to the lowest polymorph listed for this composition = 0.00 eV/f.u.
space-group type = Immm

Cell and atoms, written as POSCAR:
```
TbDy2Cu4Sn2Ge2
1.0
-2.177 3.361 7.259
2.177 -3.361 7.259
2.177 3.361 -7.259
Cu Dy Ge Sn Tb
4 2 2 2 1
Direct
0.651 0.341 0.310
0.970 0.659 0.310
0.349 0.659 0.690
0.030 0.341 0.690
0.625 0.125 0.500
0.375 0.875 0.500
0.690 0.500 0.190
0.310 0.500 0.810
0.218 0.218 0.000
0.782 0.782 0.000
0.000 0.000 0.000
```



No. 7
A geometry-optimized Tb2DyCu4Sn2Ge2 structure. Source: OQMD, functional PBE.

crystal system = orthorhombic
energy relative to the lowest polymorph listed for this composition = 0.00 eV/f.u.
space-group type = Immm

Cell and atoms, written as POSCAR:
```
Tb2DyCu4Sn2Ge2
1.0
-2.186 3.353 7.256
2.186 -3.353 7.256
2.186 3.353 -7.256
Cu Dy Ge Sn Tb
4 1 2 2 2
Direct
0.651 0.340 0.311
0.970 0.660 0.311
0.030 0.340 0.689
0.349 0.660 0.689
0.000 0.000 0.000
0.691 0.500 0.191
0.309 0.500 0.809
0.218 0.218 0.000
0.782 0.782 0.000
0.625 0.125 0.500
0.375 0.875 0.500
```



No. 8
A geometry-optimized Tb2DyCu4Sn2Ge2 structure. Source: OQMD, functional PBE.

crystal system = orthorhombic
energy relative to the lowest polymorph listed for this composition = 0.74 eV/f.u.
space-group type = Immm

Cell and atoms, written as POSCAR:
```
Tb2DyCu4Sn2Ge2
1.0
-2.151 3.460 7.186
2.151 -3.460 7.186
2.151 3.460 -7.186
Cu Dy Ge Sn Tb
4 1 2 2 2
Direct
0.639 0.325 0.314
0.989 0.675 0.314
0.011 0.325 0.686
0.361 0.675 0.686
0.000 0.000 0.000
0.217 0.217 0.000
0.783 0.783 0.000
0.702 0.500 0.202
0.298 0.500 0.798
0.636 0.136 0.500
0.364 0.864 0.500
```



No. 9
A geometry-optimized TbDy2Cu4Sn2Ge2 structure. Source: OQMD, functional PBE.

crystal system = orthorhombic
energy relative to the lowest polymorph listed for this composition = 0.74 eV/f.u.
space-group type = Immm

Cell and atoms, written as POSCAR:
```
TbDy2Cu4Sn2Ge2
1.0
-2.150 3.476 7.181
2.150 -3.476 7.181
2.150 3.476 -7.181
Cu Dy Ge Sn Tb
4 2 2 2 1
Direct
0.637 0.324 0.313
0.989 0.676 0.313
0.363 0.676 0.687
0.011 0.324 0.687
0.636 0.136 0.500
0.364 0.864 0.500
0.217 0.217 0.000
0.783 0.783 0.000
0.701 0.500 0.201
0.299 0.500 0.799
0.000 0.000 0.000
```



No. 10
A geometry-optimized Dy2YCu4Sn2Ge2 structure. Source: OQMD, functional PBE.

crystal system = orthorhombic
energy relative to the lowest polymorph listed for this composition = 0.72 eV/f.u.
space-group type = Immm

Cell and atoms, written as POSCAR:
```
Dy2YCu4Sn2Ge2
1.0
-2.147 3.465 7.172
2.147 -3.465 7.172
2.147 3.465 -7.172
Cu Dy Ge Sn Y
4 2 2 2 1
Direct
0.637 0.324 0.313
0.989 0.676 0.313
0.011 0.324 0.687
0.363 0.676 0.687
0.636 0.136 0.500
0.364 0.864 0.500
0.217 0.217 0.000
0.783 0.783 0.000
0.701 0.500 0.201
0.299 0.500 0.799
0.000 0.000 0.000
```



No. 11
A geometry-optimized Dy2YCu4Sn2Ge2 structure. Source: OQMD, functional PBE.

crystal system = orthorhombic
energy relative to the lowest polymorph listed for this composition = 0.00 eV/f.u.
space-group type = Immm

Cell and atoms, written as POSCAR:
```
Dy2YCu4Sn2Ge2
1.0
1.917 -0.745 8.017
-3.142 5.034 5.770
-1.185 -5.601 -5.978
Cu Dy Ge Sn Y
4 2 2 2 1
Direct
0.651 0.341 0.311
0.970 0.659 0.311
0.030 0.341 0.689
0.349 0.659 0.689
0.626 0.126 0.500
0.374 0.874 0.500
0.690 0.500 0.190
0.310 0.500 0.810
0.218 0.218 0.000
0.782 0.782 0.000
0.000 0.000 0.000
```



No. 12
A geometry-optimized DyY2Cu4Sn2Ge2 structure. Source: OQMD, functional PBE.

crystal system = orthorhombic
energy relative to the lowest polymorph listed for this composition = 0.00 eV/f.u.
space-group type = Immm

Cell and atoms, written as POSCAR:
```
DyY2Cu4Sn2Ge2
1.0
-4.257 -6.193 3.476
-6.135 1.351 5.393
3.177 0.988 -7.582
Cu Dy Ge Sn Y
4 1 2 2 2
Direct
0.652 0.341 0.311
0.971 0.659 0.311
0.029 0.341 0.689
0.348 0.659 0.689
0.000 0.000 0.000
0.691 0.500 0.191
0.309 0.500 0.809
0.218 0.218 0.000
0.782 0.782 0.000
0.625 0.125 0.500
0.375 0.875 0.500
```



No. 13
A geometry-optimized DyY2Cu4Sn2Ge2 structure. Source: OQMD, functional PBE.

crystal system = orthorhombic
energy relative to the lowest polymorph listed for this composition = 0.72 eV/f.u.
space-group type = Immm

Cell and atoms, written as POSCAR:
```
DyY2Cu4Sn2Ge2
1.0
-2.148 3.469 7.168
2.148 -3.469 7.168
2.148 3.469 -7.168
Cu Dy Ge Sn Y
4 1 2 2 2
Direct
0.636 0.323 0.313
0.989 0.677 0.313
0.011 0.323 0.687
0.364 0.677 0.687
0.000 0.000 0.000
0.216 0.216 0.000
0.784 0.784 0.000
0.702 0.500 0.202
0.298 0.500 0.798
0.635 0.135 0.500
0.365 0.865 0.500
```



No. 14
A geometry-optimized Tb2DyCu4Ge4 structure. Source: OQMD, functional PBE.

E_tot = -54.20 eV/cell
crystal system = orthorhombic
space-group type = Immm

Cell and atoms, written as POSCAR:
```
Tb2DyCu4Ge4
1.0
4.047 4.483 5.264
-3.551 6.034 3.895
0.457 -7.821 -1.675
Cu Dy Ge Tb
4 1 4 2
Direct
0.641 0.331 0.310
0.980 0.669 0.310
0.020 0.331 0.690
0.359 0.669 0.690
0.000 0.000 0.000
0.217 0.217 0.000
0.783 0.783 0.000
0.692 0.500 0.192
0.308 0.500 0.808
0.630 0.130 0.500
0.370 0.870 0.500
```



No. 15
A geometry-optimized TbDy2Cu4Ge4 structure. Source: OQMD, functional PBE.

E_tot = -54.19 eV/cell
crystal system = orthorhombic
space-group type = Immm

Cell and atoms, written as POSCAR:
```
TbDy2Cu4Ge4
1.0
2.852 4.416 6.042
-4.891 3.085 5.541
3.071 -6.394 -3.719
Cu Dy Ge Tb
4 2 4 1
Direct
0.641 0.331 0.310
0.979 0.669 0.310
0.359 0.669 0.690
0.021 0.331 0.690
0.630 0.130 0.500
0.370 0.870 0.500
0.217 0.217 0.000
0.783 0.783 0.000
0.691 0.500 0.191
0.309 0.500 0.809
0.000 0.000 0.000
```



No. 16
A geometry-optimized DyCuGeTe3 structure. Source: OQMD, functional PBE.

crystal system = orthorhombic
energy relative to the lowest polymorph listed for this composition = 0.00 eV/f.u.
space-group type = Cmcm

Cell and atoms, written as POSCAR:
```
DyCuGeTe3
1.0
-3.197 0.654 -2.546
-5.117 -5.061 1.761
-4.397 6.992 7.315
Cu Dy Ge Te
2 2 2 6
Direct
0.523 0.954 0.250
0.477 0.046 0.750
0.000 0.000 0.000
0.000 0.000 0.500
0.221 0.559 0.250
0.779 0.441 0.750
0.649 0.702 0.072
0.905 0.191 0.250
0.649 0.702 0.428
0.351 0.298 0.572
0.095 0.809 0.750
0.351 0.298 0.928
```



No. 17
A geometry-optimized DyCuGeTe3 structure. Source: OQMD, functional PBE.

crystal system = orthorhombic
energy relative to the lowest polymorph listed for this composition = 0.18 eV/f.u.
space-group type = Pnma

Cell and atoms, written as POSCAR:
```
DyCuGeTe3
1.0
-10.864 5.183 0.949
-1.769 -3.837 0.700
1.716 1.398 12.007
Cu Dy Ge Te
4 4 4 12
Direct
0.765 0.000 0.212
0.265 0.000 0.288
0.735 0.500 0.712
0.235 0.500 0.788
0.470 0.500 0.189
0.970 0.500 0.311
0.030 0.000 0.689
0.530 0.000 0.811
0.817 0.500 0.016
0.317 0.500 0.484
0.683 0.000 0.516
0.183 0.000 0.984
0.606 0.000 0.063
0.960 0.000 0.122
0.208 0.500 0.176
0.708 0.500 0.324
0.460 0.000 0.378
0.106 0.000 0.437
0.894 0.500 0.563
0.540 0.500 0.622
0.292 0.000 0.676
0.792 0.000 0.824
0.040 0.500 0.878
0.394 0.500 0.937
```



No. 18
A geometry-optimized Dy2YCu4Ge4 structure. Source: OQMD, functional PBE.

E_tot = -56.04 eV/cell
crystal system = orthorhombic
space-group type = Immm

Cell and atoms, written as POSCAR:
```
Dy2YCu4Ge4
1.0
-0.399 -5.153 6.108
-5.577 0.756 5.688
1.906 -1.134 -7.688
Cu Dy Ge Y
4 2 4 1
Direct
0.641 0.331 0.310
0.979 0.669 0.310
0.021 0.331 0.690
0.359 0.669 0.690
0.630 0.130 0.500
0.370 0.870 0.500
0.217 0.217 0.000
0.783 0.783 0.000
0.691 0.500 0.191
0.309 0.500 0.809
0.000 0.000 0.000
```



No. 19
A geometry-optimized DyHfCu structure. Source: OQMD, functional PBE.

E_tot = -17.37 eV/cell
crystal system = cubic
space-group type = F-43m

Cell and atoms, written as POSCAR:
```
DyHfCu
1.0
-1.943 0.233 4.168
0.514 3.785 2.572
-3.584 2.801 0.716
Cu Dy Hf
1 1 1
Direct
0.000 0.000 0.000
0.250 0.250 0.250
0.750 0.750 0.750
```



No. 20
A geometry-optimized DyHfCu6 structure. Source: OQMD, functional PBE.

E_tot = -38.02 eV/cell
crystal system = orthorhombic
space-group type = Pmm2

Cell and atoms, written as POSCAR:
```
DyHfCu6
1.0
-2.613 -2.436 2.725
-1.615 -3.239 -4.444
3.572 -2.910 0.823
Cu Dy Hf
6 1 1
Direct
0.500 0.500 0.219
0.000 0.223 0.339
0.000 0.777 0.339
0.500 0.233 0.648
0.500 0.767 0.648
0.000 0.000 0.816
0.000 0.500 0.842
0.500 0.000 0.148
```



No. 21
A geometry-optimized Dy2HoMg3CuHg2 structure. Source: OQMD, functional PBE.

E_tot = -25.79 eV/cell
crystal system = orthorhombic
space-group type = Amm2

Cell and atoms, written as POSCAR:
```
Dy2HoMg3CuHg2
1.0
-2.639 0.146 3.162
0.506 -7.653 0.776
4.861 4.584 3.845
Cu Dy Hg Ho Mg
1 2 2 1 3
Direct
0.000 0.000 0.000
0.000 0.597 0.000
0.000 0.000 0.597
0.500 0.666 0.334
0.500 0.334 0.666
0.000 0.402 0.402
0.500 0.237 0.000
0.500 0.000 0.237
0.500 0.763 0.763
```



| no. | calculated density (g/cm3) |
| --- | --- |
| 1 | 8.24 |
| 2 | 6.88 |
| 3 | 6.93 |
| 4 | 8.41 |
| 5 | 8.38 |
| 6 | 8.76 |
| 7 | 8.72 |
| 8 | 8.67 |
| 9 | 8.67 |
| 10 | 8.18 |
| 11 | 8.22 |
| 12 | 7.65 |
| 13 | 7.60 |
| 14 | 8.71 |
| 15 | 8.76 |
| 16 | 6.97 |
| 17 | 7.17 |
| 18 | 8.18 |
| 19 | 9.73 |
| 20 | 9.95 |
| 21 | 8.04 |